DFT (PBE) results for a geometry-optimized Pr4Dy5Tm structure.

a b c (Å): 3.545 11.330 8.791
angles (deg): 89.86 101.63 90.00
Positions (direct):
Pr (0.659, 0.250, 0.318)
Pr (0.032, 0.751, 0.064)
Pr (0.341, 0.750, 0.682)
Pr (0.968, 0.249, 0.936)
Dy (0.172, 0.952, 0.345)
Dy (0.173, 0.550, 0.346)
Dy (0.827, 0.450, 0.654)
Dy (0.500, 0.500, 0.000)
Dy (0.828, 0.048, 0.655)
Tm (0.500, 0.000, 0.000)

**Formation energy**: 0.1877 eV per atom
**E above lowest polymorph**: 0 meV/atom
**Total moment**: 0.00 Bohr magnetons per cell
**DOS at the Fermi energy**: 13.49 states/eV/f.u.



DFT (PBE) results for a geometry-optimized Ba2CeTlS5 structure.

a b c (Å): 4.310 9.338 13.031
angles (deg): 90.00 90.00 103.34
Last column: magnetic moment on the atom in μB.
Positions (direct):
Ba (0.866, 0.731, 0.807)  0.00
Ba (0.114, 0.227, 0.688)  0.00
Ba (0.134, 0.269, 0.307)  0.00
Ba (0.886, 0.773, 0.188)  0.00
Ce (0.790, 0.579, 0.511)  0.64
Ce (0.210, 0.421, 0.011)  0.64
Tl (0.529, 0.058, 0.958)  0.00
Tl (0.471, 0.942, 0.458)  0.00
S (0.360, 0.721, 0.001)  -0.01
S (0.688, 0.377, 0.872)  -0.01
S (0.494, 0.988, 0.770)  0.00
S (0.287, 0.575, 0.651)  -0.01
S (0.946, 0.892, 0.565)  0.00
S (0.640, 0.279, 0.501)  -0.01
S (0.312, 0.623, 0.372)  -0.01
S (0.506, 0.012, 0.270)  0.00
S (0.713, 0.425, 0.151)  -0.01
S (0.054, 0.108, 0.065)  0.00

**Formation energy from raw total energies**: -1.5642 eV/atom
**Total moment**: 1.25 Bohr magnetons per cell
**DOS at the Fermi energy**: 5.04 states/eV/f.u.



DFT (PBE) results for a geometry-optimized NbH2W structure.

a b c (Å): 4.354 4.354 5.296
angles (deg): 65.73 65.73 90.00
Positions (direct):
H (0.638, 0.125, 0.250)
H (0.112, 0.625, 0.250)
H (0.375, 0.362, 0.750)
H (0.875, 0.888, 0.750)
Nb (0.500, 0.500, 0.000)
Nb (0.250, 0.750, 0.500)
W (0.000, 0.000, 0.000)
W (0.750, 0.250, 0.500)

**E above lowest polymorph**: 0 meV/atom
**Total moment**: 0.00 Bohr magnetons per cell
**DOS at the Fermi energy**: 1.60 states/eV/f.u.



DFT (PBE) results for a geometry-optimized AcLa5Ho2 structure.

a b c (Å): 3.708 11.498 9.139
angles (deg): 128.98 101.70 90.00
Positions (direct):
Ac (0.000, 0.000, 0.000)
La (0.000, 0.500, 0.000)
La (0.632, 0.405, 0.265)
La (0.368, 0.595, 0.735)
La (0.632, 0.859, 0.265)
La (0.368, 0.141, 0.735)
Ho (0.256, 0.756, 0.511)
Ho (0.744, 0.244, 0.489)

**Formation energy**: 0.0234 eV per atom
**E above lowest polymorph**: 9 meV/atom
**Total moment**: 0.00 Bohr magnetons per cell
**DOS at the Fermi energy**: 12.26 states/eV/f.u.



DFT (PBE) results for a geometry-optimized TeOsCl2 structure.

a b c (Å): 4.707 4.707 4.707
angles (deg): 60.00 60.00 60.00
Positions (direct):
Te (0.750, 0.750, 0.750)
Os (0.500, 0.500, 0.500)
Cl (0.000, 0.000, 0.000)
Cl (0.250, 0.250, 0.250)

**Formation energy from raw total energies**: 0.7571 eV/atom
**E above lowest polymorph**: 802 meV/atom
**Total moment**: 0.00 Bohr magnetons per cell
**DOS at the Fermi energy**: 3.09 states/eV/f.u.



DFT (PBE) results for a geometry-optimized Zr2TiSb structure.

a b c (Å): 3.221 6.400 13.016
angles (deg): 137.37 101.39 74.35
Positions (direct):
Zr (0.766, 0.831, 0.985)
Zr (0.764, 0.559, 0.471)
Zr (0.766, 0.331, 0.985)
Zr (0.764, 0.059, 0.471)
Ti (0.343, 0.984, 0.228)
Ti (0.343, 0.484, 0.228)
Sb (0.256, 0.191, 0.728)
Sb (0.256, 0.691, 0.728)

**Formation energy from raw total energies**: -0.1863 eV/atom
**Total moment**: 0.00 Bohr magnetons per cell
**DOS at the Fermi energy**: 2.46 states/eV/f.u.



DFT (PBE) results for a geometry-optimized Ba2AsPt structure.

a b c (Å): 3.967 3.734 9.111
angles (deg): 65.78 90.00 90.00
Positions (direct):
As (0.500, 0.750, 0.750)
Ba (0.000, 0.987, 0.014)
Ba (0.000, 0.513, 0.486)
Pt (0.500, 0.250, 0.250)

**Formation energy**: -0.7291 eV per atom
**Total moment**: 0.00 Bohr magnetons per cell
**DOS at the Fermi energy**: 0.86 states/eV/f.u.



DFT (PBE) results for a geometry-optimized TcAs4 structure.

a b c (Å): 5.693 5.693 5.693
angles (deg): 96.59 96.59 140.39
Last column: magnetic moment on the atom in μB.
Positions (direct):
Tc (0.000, 0.000, 0.000)  0.92
As (0.735, 0.468, 0.204)  0.01
As (0.468, 0.265, 0.733)  0.01
As (0.265, 0.532, 0.796)  0.01
As (0.532, 0.735, 0.267)  0.01

**Formation energy**: 0.2434 eV per atom
**E above lowest polymorph**: 0 meV/atom
**Total moment**: 1.11 Bohr magnetons per cell
**DOS at the Fermi energy**: 2.87 states/eV/f.u.



DFT (PBE) results for a geometry-optimized Be2CuPb structure.

a b c (Å): 4.680 4.680 4.680
angles (deg): 130.25 130.35 72.93
Positions (direct):
Pb (0.250, 0.750, 0.500)
Be (0.000, 0.000, 0.000)
Be (0.500, 0.500, 0.000)
Cu (0.750, 0.250, 0.500)

**Formation energy**: 0.6156 eV per atom
**Total moment**: 0.00 Bohr magnetons per cell
**DOS at the Fermi energy**: 1.27 states/eV/f.u.



DFT (PBE) results for a geometry-optimized NbMo7 structure.

a b c (Å): 6.365 6.365 6.365
angles (deg): 90.03 90.03 89.97
Positions (direct):
Nb (0.873, 0.873, 0.127)
Nb (0.127, 0.127, 0.873)
Mo (0.624, 0.624, 0.376)
Mo (0.624, 0.126, 0.376)
Mo (0.126, 0.624, 0.376)
Mo (0.126, 0.126, 0.376)
Mo (0.874, 0.376, 0.126)
Mo (0.376, 0.874, 0.126)
Mo (0.376, 0.376, 0.126)
Mo (0.624, 0.624, 0.874)
Mo (0.624, 0.126, 0.874)
Mo (0.126, 0.624, 0.874)
Mo (0.874, 0.874, 0.624)
Mo (0.874, 0.376, 0.624)
Mo (0.376, 0.874, 0.624)
Mo (0.376, 0.376, 0.624)

**Formation energy**: -0.0512 eV per atom
**Total moment**: 0.00 Bohr magnetons per cell
**DOS at the Fermi energy**: 4.54 states/eV/f.u.



DFT (PBE) results for a geometry-optimized DyYMg2Pd4 structure.

a b c (Å): 4.776 4.776 8.286
angles (deg): 73.25 73.25 60.00
Positions (direct):
Dy (0.000, 0.000, 0.000)
Y (0.500, 0.500, 0.500)
Mg (0.750, 0.750, 0.750)
Mg (0.250, 0.250, 0.250)
Pd (0.375, 0.375, 0.875)
Pd (0.876, 0.876, 0.372)
Pd (0.124, 0.124, 0.628)
Pd (0.625, 0.625, 0.125)

**Formation energy**: -0.8028 eV per atom
**Total moment**: 0.00 Bohr magnetons per cell
**DOS at the Fermi energy**: 3.30 states/eV/f.u.



DFT (PBE) results for a geometry-optimized BiRhSe2 structure.

a b c (Å): 9.344 3.760 5.593
angles (deg): 90.01 81.33 101.62
Positions (direct):
Rh (0.913, 0.543, 0.740)
Rh (0.522, 0.847, 0.823)
Bi (0.659, 0.416, 0.096)
Bi (0.151, 0.162, 0.456)
Se (0.290, 0.731, 0.100)
Se (0.448, 0.310, 0.582)
Se (0.777, 0.975, 0.567)
Se (0.002, 0.088, 0.969)

**Formation energy from raw total energies**: -0.2320 eV/atom
**Total moment**: 0.00 Bohr magnetons per cell
**DOS at the Fermi energy**: 1.39 states/eV/f.u.



DFT (PBE) results for a geometry-optimized Ba2BiSbPt6 structure.

a b c (Å): 7.108 7.398 9.072
angles (deg): 49.87 52.73 84.57
Positions (direct):
Ba (0.753, 0.247, 0.545)
Ba (0.247, 0.753, 0.455)
Bi (0.000, 0.000, 0.000)
Sb (0.500, 0.500, 0.000)
Pt (0.282, 0.220, 0.494)
Pt (0.780, 0.718, 0.995)
Pt (0.252, 0.748, 0.856)
Pt (0.748, 0.252, 0.144)
Pt (0.220, 0.282, 0.005)
Pt (0.718, 0.780, 0.506)

**Formation energy from raw total energies**: -0.5382 eV/atom
**Total moment**: 0.00 Bohr magnetons per cell
**DOS at the Fermi energy**: 5.21 states/eV/f.u.



DFT (PBE) results for a geometry-optimized Na2SeO5 structure.

a b c (Å): 6.838 6.838 7.462
angles (deg): 90.00 90.00 123.56
Positions (direct):
Na (0.000, 0.000, 0.500)
Na (0.000, 0.000, 0.000)
Na (0.299, 0.701, 0.750)
Na (0.701, 0.299, 0.250)
Se (0.781, 0.219, 0.750)
Se (0.219, 0.781, 0.250)
O (0.080, 0.920, 0.250)
O (0.920, 0.080, 0.750)
O (0.579, 0.975, 0.953)
O (0.975, 0.579, 0.047)
O (0.579, 0.975, 0.547)
O (0.975, 0.579, 0.453)
O (0.421, 0.025, 0.047)
O (0.025, 0.421, 0.953)
O (0.421, 0.025, 0.453)
O (0.025, 0.421, 0.547)

**Formation energy from raw total energies**: -0.7468 eV/atom
**E above lowest polymorph**: 0 meV/atom
**Total moment**: 0.00 Bohr magnetons per cell
**DOS at the Fermi energy**: 0.00 states/eV/f.u.



DFT (PBE) results for a geometry-optimized Ac7SiS5 structure.

a b c (Å): 4.336 7.390 25.742
angles (deg): 90.08 90.00 107.06
Positions (direct):
Ac (0.467, 0.933, 0.250)
Ac (0.534, 0.068, 0.750)
Ac (0.637, 0.275, 0.036)
Ac (0.363, 0.727, 0.964)
Ac (0.363, 0.727, 0.536)
Ac (0.637, 0.274, 0.464)
Ac (0.191, 0.382, 0.179)
Ac (0.810, 0.619, 0.821)
Ac (0.811, 0.621, 0.679)
Ac (0.190, 0.380, 0.321)
Ac (0.908, 0.816, 0.111)
Ac (0.093, 0.186, 0.889)
Ac (0.093, 0.187, 0.611)
Ac (0.907, 0.814, 0.389)
Si (0.804, 0.608, 0.251)
Si (0.197, 0.394, 0.749)
S (0.000, 0.001, 0.000)
S (0.728, 0.456, 0.929)
S (0.273, 0.546, 0.071)
S (0.547, 0.095, 0.359)
S (0.453, 0.906, 0.641)
S (0.000, 0.000, 0.500)
S (0.272, 0.545, 0.429)
S (0.728, 0.456, 0.571)
S (0.452, 0.905, 0.859)
S (0.548, 0.097, 0.141)

**Formation energy from raw total energies**: -1.6109 eV/atom
**Total moment**: 0.00 Bohr magnetons per cell
**DOS at the Fermi energy**: 8.65 states/eV/f.u.



DFT (PBE) results for a geometry-optimized NbMoH2 structure.

a b c (Å): 2.890 5.293 5.977
angles (deg): 115.30 102.70 95.00
Positions (direct):
Nb (0.556, 0.908, 0.586)
Nb (0.056, 0.408, 0.586)
Mo (0.318, 0.002, 0.106)
Mo (0.818, 0.502, 0.106)
H (0.119, 0.817, 0.755)
H (0.927, 0.947, 0.336)
H (0.427, 0.447, 0.336)
H (0.619, 0.317, 0.755)

**E above lowest polymorph**: 0 meV/atom
**Total moment**: 0.00 Bohr magnetons per cell
**DOS at the Fermi energy**: 2.58 states/eV/f.u.



DFT (PBE) results for a geometry-optimized CaTi3Cr structure.

a b c (Å): 4.698 4.698 4.698
angles (deg): 90.00 90.00 90.00
Last column: magnetic moment on the atom in μB.
Positions (direct):
Cr (0.000, 0.000, 0.000)  -0.15
Ca (0.500, 0.500, 0.500)  0.03
Ti (0.000, 0.500, 0.000)  0.40
Ti (0.000, 0.000, 0.500)  0.27
Ti (0.500, 0.000, 0.000)  0.55

**Formation energy**: 0.4655 eV per atom
**E above lowest polymorph**: 0 meV/atom
**Total moment**: 1.59 Bohr magnetons per cell
**DOS at the Fermi energy**: 8.29 states/eV/f.u.



DFT (PBE) results for a geometry-optimized LaMn3Hg structure.

a b c (Å): 4.820 4.820 4.820
angles (deg): 90.00 90.00 90.00
Last column: magnetic moment on the atom in μB.
Positions (direct):
Mn (0.000, 0.500, 0.000)  -0.13
Mn (0.000, 0.000, 0.500)  0.10
Mn (0.500, 0.000, 0.000)  -0.11
Hg (0.000, 0.000, 0.000)  0.04
La (0.500, 0.500, 0.500)  -0.05

**Formation energy**: 1.7791 eV per atom
**E above lowest polymorph**: 273 meV/atom
**Total moment**: 0.23 Bohr magnetons per cell
**DOS at the Fermi energy**: 19.41 states/eV/f.u.



DFT (PBE) results for a geometry-optimized BaNdInHg structure.

a b c (Å): 5.736 5.736 5.736
angles (deg): 60.00 60.00 60.00
Positions (direct):
In (0.000, 0.000, 0.000)
Nd (0.250, 0.250, 0.250)
Hg (0.500, 0.500, 0.500)
Ba (0.750, 0.750, 0.750)

**Formation energy**: -0.3701 eV per atom
**Total moment**: 0.00 Bohr magnetons per cell
**DOS at the Fermi energy**: 3.72 states/eV/f.u.



DFT (PBE) results for a geometry-optimized Ac2InAgRh structure.

a b c (Å): 4.462 8.504 8.128
angles (deg): 112.29 90.00 90.00
Positions (direct):
Ac (0.750, 0.887, 0.648)
Ac (0.750, 0.721, 0.028)
Ac (0.250, 0.113, 0.352)
Ac (0.250, 0.279, 0.972)
In (0.250, 0.549, 0.654)
In (0.750, 0.451, 0.346)
Ag (0.250, 0.680, 0.324)
Ag (0.750, 0.320, 0.676)
Rh (0.250, 0.883, 0.893)
Rh (0.750, 0.117, 0.107)

**Formation energy**: -0.5040 eV per atom
**Total moment**: 0.00 Bohr magnetons per cell
**DOS at the Fermi energy**: 3.73 states/eV/f.u.